1.
The following is a PBE calculation of a geometry-optimized Al2AgW structure, from Alexandria.

The energy above the most stable polymorph in this dataset is 198 meV per atom. Its calculated formation energy is 0.209 eV per atom. For the total magnetization, the calculation gives 0.000 μB/atom. The total energy comes out at -5.614 eV per atom.

a = 5.3305 Å, b = 5.3305 Å, c = 5.3305 Å
α = 148.56°, β = 124.31°, γ = 65.37°
Closest atoms and distances in Å follow each position.
Fractional coordinates of all 4 atoms:
Al 0.2474 0.2474 0.0000  2 Ag 2.65, 2 W 2.69, 6 Al 2.88-2.89
Al 0.7526 0.7526 0.0000  2 Ag 2.65, 2 W 2.69, 6 Al 2.88-2.89
Ag 0.0000 0.5000 0.5000  4 Al 2.65, 4 W 2.88, 2 Ag 2.89
W 0.5000 0.0000 0.5000  4 Al 2.69, 4 Ag 2.88, 2 W 2.89

***

2.
The following is a PBE calculation of a geometry-optimized Nd3HgAs structure, from Alexandria.

Its calculated formation energy is -0.724 eV per atom. For the total magnetization, the calculation gives 0.000 μB/atom. The total energy comes out at -4.575 eV per atom.

a = 7.5942 Å, b = 4.6370 Å, c = 16.9400 Å
α = 90.00°, β = 90.00°, γ = 90.00°
Closest atoms and distances in Å follow each position.
Fractional coordinates of all 20 atoms:
Nd 0.0117 0.2500 0.1017  3 As 2.99-3.01
Nd 0.1314 0.7500 0.4446  3 As 3.03-3.11, 2 Hg 3.31
Nd 0.1739 0.2500 0.7197  1 As 3.15, 4 Hg 3.18-3.22
Nd 0.3261 0.7500 0.2197  1 As 3.15, 4 Hg 3.18-3.22
Nd 0.3686 0.2500 0.9446  3 As 3.03-3.11, 2 Hg 3.31
Nd 0.4883 0.7500 0.6017  3 As 2.99-3.01
Nd 0.5117 0.2500 0.3983  3 As 2.99-3.01
Nd 0.6314 0.7500 0.0554  3 As 3.03-3.11, 2 Hg 3.31
Nd 0.6739 0.2500 0.7803  1 As 3.15, 4 Hg 3.18-3.22
Nd 0.8261 0.7500 0.2803  1 As 3.15, 4 Hg 3.18-3.22
Nd 0.8686 0.2500 0.5554  3 As 3.03-3.11, 2 Hg 3.31
Nd 0.9883 0.7500 0.8983  3 As 2.99-3.01
Hg 0.1139 0.2500 0.3058  8 Nd 3.18-3.54
Hg 0.3861 0.7500 0.8058  8 Nd 3.18-3.54
Hg 0.6139 0.2500 0.1942  8 Nd 3.18-3.54
Hg 0.8861 0.7500 0.6942  8 Nd 3.18-3.54
As 0.2241 0.7500 0.0397  7 Nd 2.99-3.15
As 0.2759 0.2500 0.5397  7 Nd 2.99-3.15
As 0.7241 0.7500 0.4603  7 Nd 2.99-3.15
As 0.7759 0.2500 0.9603  7 Nd 2.99-3.15

***

3.
The following is a PBE calculation of a geometry-optimized FeHgRu2 structure, from Alexandria.

Its calculated formation energy is 0.445 eV per atom. For the total magnetization, the calculation gives 0.784 μB/atom. The total energy comes out at -6.384 eV per atom.

a = 4.7442 Å, b = 4.7442 Å, c = 4.8442 Å
α = 99.81°, β = 99.81°, γ = 34.86°
Closest atoms and distances in Å follow each position.
Fractional coordinates of all 4 atoms:
Fe 0.0000 0.0000 0.0000  5 Ru 2.55-2.77, 3 Hg 2.73-2.81, 2 Fe 2.84
Hg 0.2443 0.2443 0.7409  3 Fe 2.73-2.81, 7 Ru 2.81-2.92, 2 Hg 2.84
Ru 0.4854 0.4854 0.4303  2 Fe 2.55, 5 Ru 2.63-2.84
Ru 0.7442 0.7442 0.2415  5 Ru 2.63-2.84, 3 Fe 2.71-2.77, 4 Hg 2.81

***

4.
The following is a PBE calculation of a geometry-optimized HfRuSe2N structure, from Alexandria.

The energy above the most stable polymorph in this dataset is 383 meV per atom. For the energy relative to the elements, uncorrected, the calculation gives 49.4 kJ per mole of atoms. For the total magnetization, the calculation gives 0.849 μB/atom. The total energy comes out at -6.393 eV per atom.

a = 5.2268 Å, b = 5.2268 Å, c = 4.0072 Å
α = 90.00°, β = 90.00°, γ = 90.00°
Closest atoms and distances in Å follow each position.
Fractional coordinates of all 5 atoms:
Hf 0.0000 0.0000 0.0000  2 N 2.00
Ru 0.5000 0.5000 0.5000  8 Se 3.29
Se 0.0000 0.5000 0.0000  2 Hf 2.61
Se 0.5000 0.0000 0.0000  2 Hf 2.61
N 0.0000 0.0000 0.5000  2 Hf 2.00

***

5.
The following is a PBE calculation of a geometry-optimized Sm2Ho4TmMg structure, from Alexandria.

Its calculated formation energy is 0.028 eV per atom. For the total magnetization, the calculation gives 0.000 μB/atom. The total energy comes out at -4.199 eV per atom.

a = 4.9574 Å, b = 4.9462 Å, c = 10.0200 Å
α = 90.00°, β = 90.05°, γ = 90.00°
Closest atoms and distances in Å follow each position.
Fractional coordinates of all 8 atoms:
Sm 0.0000 0.0000 0.0000  4 Mg 3.50, 8 Ho 3.52
Sm 0.5000 0.5000 0.5000  4 Tm 3.50, 8 Ho 3.52-3.53
Ho 0.0004 0.5000 0.2501  4 Ho 3.50, 2 Tm 3.52, 4 Sm 3.52-3.53, 2 Mg 3.52-3.53
Ho 0.9996 0.5000 0.7499  4 Ho 3.50, 2 Tm 3.52, 4 Sm 3.52-3.53, 2 Mg 3.52-3.53
Ho 0.5001 0.0000 0.2499  4 Ho 3.50, 2 Mg 3.52, 4 Sm 3.52, 2 Tm 3.52-3.53
Ho 0.4999 0.0000 0.7501  4 Ho 3.50, 2 Mg 3.52, 4 Sm 3.52, 2 Tm 3.52-3.53
Tm 0.0000 0.0000 0.5000  4 Sm 3.50, 8 Ho 3.52-3.53
Mg 0.5000 0.5000 0.0000  4 Sm 3.50, 8 Ho 3.52-3.53

***

6.
The following is a PBE calculation of a geometry-optimized TiBeIO2 structure, from Alexandria.

The energy above the most stable polymorph in this dataset is 728 meV per atom. For the energy relative to the elements, uncorrected, the calculation gives -33.6 kJ per mole of atoms. For the total magnetization, the calculation gives 0.178 μB/atom. The total energy comes out at -4.966 eV per atom.

a = 3.7894 Å, b = 3.7894 Å, c = 4.8280 Å
α = 90.00°, β = 90.00°, γ = 90.00°
Closest atoms and distances in Å follow each position.
Fractional coordinates of all 5 atoms:
Ti 0.0000 0.0000 0.0000  4 I 2.68
Be 0.5000 0.5000 0.5000  4 O 1.89
I 0.5000 0.5000 0.0000  2 Be 2.41, 4 Ti 2.68
O 0.0000 0.5000 0.5000  2 Be 1.89
O 0.5000 0.0000 0.5000  2 Be 1.89

***

7.
The following is a PBE calculation of a geometry-optimized PrMgCd structure, from Alexandria.

Its calculated formation energy is 0.064 eV per atom. For the total magnetization, the calculation gives 0.133 μB/atom. The total energy comes out at -2.366 eV per atom.

a = 3.8758 Å, b = 5.5696 Å, c = 4.2304 Å
α = 90.00°, β = 90.23°, γ = 90.00°
Closest atoms and distances in Å follow each position.
Fractional coordinates of all 3 atoms:
Pr 0.0000 0.0000 0.0000  4 Cd 3.39, 4 Mg 3.50
Mg 0.0000 0.5000 0.5000  4 Cd 2.86-2.87
Cd 0.5000 0.5000 0.0000  4 Mg 2.86-2.87

***

8.
The following is a PBE calculation of a geometry-optimized HfZr6Bi structure, from Alexandria.

The energy above the most stable polymorph in this dataset is 0 meV per atom. Its calculated formation energy is -0.111 eV per atom. For the total magnetization, the calculation gives 0.000 μB/atom. The total energy comes out at -8.251 eV per atom.

a = 5.7042 Å, b = 5.7042 Å, c = 5.7042 Å
α = 89.94°, β = 89.94°, γ = 89.94°
Closest atoms and distances in Å follow each position.
Fractional coordinates of all 8 atoms:
Hf 0.0000 0.0000 0.0000  12 Zr 3.17-3.18
Zr 0.9999 0.2445 0.4998  2 Zr 2.79-2.91
Zr 0.0001 0.7555 0.5002  2 Zr 2.79-2.91
Zr 0.2445 0.4998 0.9999  2 Zr 2.79-2.91
Zr 0.4998 0.9999 0.2445  2 Zr 2.79-2.91
Zr 0.5002 0.0001 0.7555  2 Zr 2.79-2.91
Zr 0.7555 0.5002 0.0001  2 Zr 2.79-2.91
Bi 0.5000 0.5000 0.5000  12 Zr 3.20

***

9.
The following is a PBE calculation of a geometry-optimized Zr2ScFe structure, from Alexandria.

The energy above the most stable polymorph in this dataset is 240 meV per atom. Its calculated formation energy is 0.141 eV per atom. For the total magnetization, the calculation gives 0.000 μB/atom. The total energy comes out at -7.831 eV per atom.

a = 6.2264 Å, b = 6.2264 Å, c = 6.2264 Å
α = 39.02°, β = 39.02°, γ = 39.02°
Closest atoms and distances in Å follow each position.
Fractional coordinates of all 4 atoms:
Zr 0.0000 0.0000 0.0000  3 Fe 2.62
Zr 0.2220 0.2220 0.2220  3 Fe 2.55
Sc 0.7845 0.7845 0.7845  6 Zr 3.00-3.14, 1 Fe 3.08
Fe 0.6056 0.6056 0.6056  6 Zr 2.55-2.62

***

10.
The following is a PBE calculation of a geometry-optimized LuScSnRu structure, from Alexandria.

Its calculated formation energy is -0.475 eV per atom. For the total magnetization, the calculation gives 0.000 μB/atom. The total energy comes out at -6.508 eV per atom.

a = 4.8741 Å, b = 4.8741 Å, c = 4.8741 Å
α = 60.00°, β = 60.00°, γ = 60.00°
Closest atoms and distances in Å follow each position.
Fractional coordinates of all 4 atoms:
Lu 0.0000 0.0000 0.0000  4 Ru 2.98, 4 Sn 2.98
Sc 0.5000 0.5000 0.5000  4 Sn 2.98, 4 Ru 2.98
Sn 0.2500 0.2500 0.2500  4 Sc 2.98, 4 Lu 2.98
Ru 0.7500 0.7500 0.7500  4 Lu 2.98, 4 Sc 2.98

***

11.
The following is a PBE calculation of a geometry-optimized KCrPb2 structure, from Alexandria.

The energy above the most stable polymorph in this dataset is 178 meV per atom. Its calculated formation energy is 0.355 eV per atom. For the total magnetization, the calculation gives 1.070 μB/atom. The total energy comes out at -4.179 eV per atom.

a = 6.5698 Å, b = 6.5698 Å, c = 6.5698 Å
α = 148.72°, β = 124.83°, γ = 64.80°
Closest atoms and distances in Å follow each position.
Fractional coordinates of all 4 atoms:
K 0.0000 0.0000 0.0000  4 Cr 3.52, 2 K 3.54, 8 Pb 3.62-3.87
Cr 0.5000 0.5000 0.0000  4 Pb 2.97
Pb 0.2846 0.7846 0.5000  2 Cr 2.97
Pb 0.7154 0.2154 0.5000  2 Cr 2.97

***

12.
The following is a PBE calculation of a geometry-optimized NaHf5N6 structure, from Alexandria.

For the energy relative to the elements, uncorrected, the calculation gives -155.8 kJ per mole of atoms. For the total magnetization, the calculation gives 0.000 μB/atom. The total energy comes out at -10.035 eV per atom.

a = 5.5645 Å, b = 5.5645 Å, c = 5.5610 Å
α = 99.62°, β = 99.62°, γ = 119.85°
Closest atoms and distances in Å follow each position.
Fractional coordinates of all 12 atoms:
Na 0.0000 0.0000 0.0000  6 N 2.33-2.35
Hf 0.1617 0.8383 0.5000  6 N 2.23-2.28
Hf 0.3341 0.6659 0.0000  6 N 2.25-2.28
Hf 0.5000 0.5000 0.5000  6 N 2.22-2.27
Hf 0.6659 0.3341 0.0000  6 N 2.25-2.28
Hf 0.8383 0.1617 0.5000  6 N 2.23-2.28
N 0.0867 0.4311 0.2592  5 Hf 2.23-2.28, 1 Na 2.35
N 0.2591 0.2591 0.7467  5 Hf 2.22-2.25, 1 Na 2.33
N 0.4311 0.0867 0.2592  5 Hf 2.23-2.28, 1 Na 2.35
N 0.5689 0.9133 0.7408  5 Hf 2.23-2.28, 1 Na 2.35
N 0.7409 0.7409 0.2533  5 Hf 2.22-2.25, 1 Na 2.33
N 0.9133 0.5689 0.7408  5 Hf 2.23-2.28, 1 Na 2.35

***

- Look up the total magnetization of the eighth one.
  0.000 μB/atom